Ba4ScNi PBE optimized geometry; formation energy = 939 meV/atom; density = 4.123 g cm⁻³
1.0
0.0000 5.0852 5.0852
5.0852 0.0000 5.0852
5.0852 5.0852 0.0000
Ba Sc Ni
4 1 1
Cartesian
1.2676 1.2676 1.2676 Ba
3.8177 3.8177 1.2676 Ba
3.8177 1.2676 3.8177 Ba
1.2676 3.8177 3.8177 Ba
5.0852 5.0852 5.0852 Sc
7.6279 7.6279 7.6279 Ni

***

Nd2SmHo3Bi6 PBE optimized geometry; formation energy = -887 meV/atom; density = 9.230 g cm⁻³
1.0
9.8603 -2.2645 0.0000
9.8603 2.2645 0.0000
-2.0565 0.0000 8.8130
Nd Sm Ho Bi
2 1 3 6
Cartesian
2.5946 0.0000 2.9346 Nd
15.0694 0.0000 5.8785 Nd
9.8603 0.0000 0.0000 Sm
1.5822 0.0000 7.3459 Ho
8.8320 0.0000 4.4065 Ho
16.0818 0.0000 1.4672 Ho
-1.4854 0.0000 6.5821 Bi
4.6512 0.0000 8.1332 Bi
5.7696 0.0000 3.6232 Bi
11.8944 0.0000 5.1899 Bi
13.0128 0.0000 0.6799 Bi
19.1494 0.0000 2.2310 Bi

***

Q: Look up the formation energy of the second one.
A: -887 meV/atom